The following is a DFT calculation (GGA-PBE) of a relaxed Ce5InRh4 crystal.

Summary:
density: 8.4 g/cm3
space group: Pmmn
energy of formation: -506 meV/atom
calculated volume: 24.131 A^3/atom

Lattice parameters (Å, degrees): 7.8181 8.3906 7.3570 90.00 90.00 90.00
With the nearest neighbours (Å) after each atom.
Positions (direct):
1 Ce 0.0011 0.0351 0.2417  4 Rh 2.76-2.94
2 Ce 0.0011 0.4649 0.2417  4 Rh 2.76-2.94
3 Ce 0.2500 0.7500 0.4300  2 Rh 2.58
4 Ce 0.4989 0.0351 0.2417  4 Rh 2.76-2.94
5 Ce 0.4989 0.4649 0.2417  4 Rh 2.76-2.94
6 Ce 0.5011 0.5351 0.7583  4 Rh 2.76-2.94
7 Ce 0.5011 0.9649 0.7583  4 Rh 2.76-2.94
8 Ce 0.7500 0.2500 0.5700  2 Rh 2.58
9 Ce 0.9989 0.5351 0.7583  4 Rh 2.76-2.94
10 Ce 0.9989 0.9649 0.7583  4 Rh 2.76-2.94
11 In 0.2500 0.2500 0.9304  4 Rh 2.92-3.15
12 In 0.7500 0.7500 0.0696  4 Rh 2.92-3.15
13 Rh 0.0790 0.2500 0.5425  1 Ce 2.58, 1 Rh 2.67
14 Rh 0.2500 0.5900 0.0177  1 Rh 2.69, 4 Ce 2.76-2.78, 1 In 2.92
15 Rh 0.2500 0.9100 0.0177  1 Rh 2.69, 4 Ce 2.76-2.78, 1 In 2.92
16 Rh 0.4210 0.2500 0.5425  1 Ce 2.58, 1 Rh 2.67
17 Rh 0.5790 0.7500 0.4575  1 Ce 2.58, 1 Rh 2.67
18 Rh 0.7500 0.0900 0.9823  1 Rh 2.69, 4 Ce 2.76-2.78, 1 In 2.92
19 Rh 0.7500 0.4100 0.9823  1 Rh 2.69, 4 Ce 2.76-2.78, 1 In 2.92
20 Rh 0.9210 0.7500 0.4575  1 Ce 2.58, 1 Rh 2.67

The following is a DFT calculation (GGA-PBE) of a relaxed SbI2Br crystal.

Summary:
density: 4.4 g/cm3
polymorph energy (0 for the lowest one): 165 meV per atom
space group: I-42d
energy relative to the elements, uncorrected: -23.0 kJ/mol of atoms
calculated volume: 43.094 A^3/atom

Lattice parameters (Å, degrees): 11.0235 11.0235 5.6741 90.00 90.00 90.00
With the nearest neighbours (Å) after each atom.
Positions (direct):
1 Sb 0.0000 0.0000 0.0000  2 Br 2.84, 4 I 3.09
2 Sb 0.0000 0.5000 0.2500  2 Br 2.84, 4 I 3.09
3 Sb 0.5000 0.0000 0.7500  2 Br 2.84, 4 I 3.09
4 Sb 0.5000 0.5000 0.5000  2 Br 2.84, 4 I 3.09
5 I 0.1085 0.2500 0.1250  2 Sb 3.09
6 I 0.2500 0.6085 0.3750  2 Sb 3.09
7 I 0.2500 0.8915 0.8750  2 Sb 3.09
8 I 0.3915 0.2500 0.6250  2 Sb 3.09
9 I 0.6085 0.7500 0.6250  2 Sb 3.09
10 I 0.7500 0.1085 0.8750  2 Sb 3.09
11 I 0.7500 0.3915 0.3750  2 Sb 3.09
12 I 0.8915 0.7500 0.1250  2 Sb 3.09
13 Br 0.0000 0.0000 0.5000  2 Sb 2.84
14 Br 0.0000 0.5000 0.7500  2 Sb 2.84
15 Br 0.5000 0.0000 0.2500  2 Sb 2.84
16 Br 0.5000 0.5000 0.0000  2 Sb 2.84

The following is a DFT calculation (GGA-PBE) of a relaxed K3Tl8Pb3 crystal.

Summary:
density: 8.1 g/cm3
space group: Immm
energy of formation: -84 meV/atom
calculated volume: 34.794 A^3/atom

Lattice parameters (Å, degrees): 10.0367 10.0367 10.0367 148.90 107.72 80.76
With the nearest neighbours (Å) after each atom.
Positions (direct):
1 K 0.0000 0.0000 0.0000  12 Tl 3.87-4.04
2 K 0.3020 0.3020 0.0000  4 Pb 3.75-4.05, 10 Tl 3.75-4.13
3 K 0.6980 0.6980 0.0000  4 Pb 3.75-4.05, 10 Tl 3.75-4.13
4 Tl 0.0319 0.6668 0.3651  4 Tl 3.19-3.20, 1 Pb 3.32
5 Tl 0.1393 0.8639 0.2754  3 Tl 3.20, 3 Pb 3.38-3.43
6 Tl 0.3016 0.6668 0.6349  4 Tl 3.19-3.20, 1 Pb 3.32
7 Tl 0.4115 0.1361 0.2754  3 Tl 3.20, 3 Pb 3.38-3.43
8 Tl 0.5885 0.8639 0.7246  3 Tl 3.20, 3 Pb 3.38-3.43
9 Tl 0.6984 0.3332 0.3651  4 Tl 3.19-3.20, 1 Pb 3.32
10 Tl 0.8608 0.1361 0.7246  3 Tl 3.20, 3 Pb 3.38-3.43
11 Tl 0.9681 0.3332 0.6349  4 Tl 3.19-3.20, 1 Pb 3.32
12 Pb 0.3138 0.5000 0.8138  6 Tl 3.32-3.43, 2 Pb 3.48
13 Pb 0.5000 0.0000 0.5000  4 Tl 3.38, 4 Pb 3.48
14 Pb 0.6862 0.5000 0.1862  6 Tl 3.32-3.43, 2 Pb 3.48

The following is a DFT calculation (GGA-PBE) of a relaxed CaAg2Te crystal.

Summary:
density: 6.2 g/cm3
space group: P4mm
energy relative to the elements, uncorrected: -38.3 kJ/mol of atoms
calculated volume: 25.795 A^3/atom

Lattice parameters (Å, degrees): 4.0017 4.0017 6.4434 90.00 90.00 90.00
With the nearest neighbours (Å) after each atom.
Positions (direct):
1 Ca 0.0000 0.0000 0.0000  1 Ag 2.99, 4 Te 3.08
2 Ag 0.0000 0.0000 0.5352  4 Ag 2.94, 1 Ca 2.99
3 Ag 0.5000 0.5000 0.6579  4 Ag 2.94, 1 Te 3.03
4 Te 0.5000 0.5000 0.1871  1 Ag 3.03, 4 Ca 3.08